(1)
Material: La2Cd3Ir2
Method: DFT, PBE
State: relaxed

electronic total energy	-4.7694	eV per atom
ΔH_f (0 K)	-3.064	eV/f.u.
DOS at the Fermi energy	4.24	states/eV/cell
M_tot	0.0	μB per cell
SG	C2/m, No. 12

Unit cell a=4.3292 b=5.5469 c=7.5924 alpha=97.49 beta=90.00 gamma=112.97
Fractional positions:
La (0.6264, 0.2529, 0.3550)
La (0.3736, 0.7471, 0.6450)
Cd (0.3114, 0.6227, 0.1283)
Cd (0.0000, 0.0000, 0.0000)
Cd (0.6886, 0.3773, 0.8717)
Ir (0.0824, 0.1649, 0.6493)
Ir (0.9176, 0.8351, 0.3507)

=====

(2)
Material: La2CdIr9
Method: DFT, PBE
State: relaxed

electronic total energy	-7.7641	eV per atom
ΔH_f (0 K)	-2.650	eV/f.u.
DOS at the Fermi energy	11.37	states/eV/cell
M_tot	0.0	μB per cell
SG	R-3m, No. 166

Unit cell a=5.3282 b=5.3282 c=9.4948 alpha=73.71 beta=73.71 gamma=60.00
Fractional positions:
La (0.8629, 0.8629, 0.4113)
La (0.1371, 0.1371, 0.5887)
Cd (0.0000, 0.0000, 0.0000)
Ir (0.6677, 0.6677, 0.9969)
Ir (0.3323, 0.3323, 0.0031)
Ir (0.5000, 0.5000, 0.5000)
Ir (0.4210, 0.4210, 0.2410)
Ir (0.9171, 0.4210, 0.2410)
Ir (0.4210, 0.9171, 0.2410)
Ir (0.5790, 0.5790, 0.7590)
Ir (0.5790, 0.0829, 0.7590)
Ir (0.0829, 0.5790, 0.7590)

=====

(3)
Material: La4Cd5Ir2
Method: DFT, PBE
State: relaxed

electronic total energy	-4.3003	eV per atom
ΔH_f (0 K)	-5.295	eV/f.u.
DOS at the Fermi energy	6.87	states/eV/cell
M_tot	0.0	μB per cell
SG	P2/m, No. 10

Unit cell a=3.8753 b=7.9040 c=9.8787 alpha=94.24 beta=90.00 gamma=90.00
Fractional positions:
La (0.5000, 0.2174, 0.4479)
La (0.5000, 0.8305, 0.1534)
La (0.5000, 0.7826, 0.5521)
La (0.5000, 0.1695, 0.8466)
Cd (0.0000, 0.4546, 0.6794)
Cd (0.0000, 0.8096, 0.8476)
Cd (0.0000, 0.5000, 0.0000)
Cd (0.0000, 0.1904, 0.1524)
Cd (0.0000, 0.5454, 0.3206)
Ir (0.0000, 0.9261, 0.3541)
Ir (0.0000, 0.0739, 0.6459)